Record 1
# FeC2F

A relaxed structure of FeC2F (PBE+U, the Alexandria database).

Properties
V: 179.7 Å³ per cell
N(E_F): 1.8 states/eV/f.u.
ρ: 3.65 g/cm³
ΔE to the lowest computed polymorph: 0.0 meV per atom

a = 4.552 Å, b = 4.552 Å, c = 8.670 Å
α = 90.00°, β = 90.00°, γ = 90.00°
Space group I-42d (No. 122)
One atom of each set of equivalent atoms:
Fe 0.000 0.000 0.000
C 0.166 0.250 0.125
F 0.000 0.000 0.500

---

Record 2
# FeCF3

A relaxed structure of FeCF3 (PBE+U, the Alexandria database).

Properties
V: 63.2 Å³ per cell
N(E_F): 9.2 states/eV/f.u.
ρ: 3.28 g/cm³
ΔE to the lowest computed polymorph: 0.0 meV per atom

a = 3.983 Å, b = 3.983 Å, c = 3.983 Å
α = 90.00°, β = 90.00°, γ = 90.00°
Space group Pm-3m (No. 221)
One atom of each set of equivalent atoms:
Fe 0.000 0.000 0.000
C 0.500 0.500 0.500
F 0.000 0.000 0.500

---

Record 3
# FeCF3

A relaxed structure of FeCF3 (PBE+U, the Alexandria database).

Properties
V: 56.9 Å³ per cell
N(E_F): 2.0 states/eV/f.u.
ρ: 3.64 g/cm³
ΔE to the lowest computed polymorph: 402.8 meV per atom

a = 3.847 Å, b = 3.847 Å, c = 3.847 Å
α = 90.00°, β = 90.00°, γ = 90.00°
Space group Pm-3m (No. 221)
One atom of each set of equivalent atoms:
Fe 0.000 0.000 0.000
C 0.500 0.500 0.500
F 0.000 0.500 0.500

---

Record 4
# FeC3F

A relaxed structure of FeC3F (PBE+U, the Alexandria database).

Properties
V: 51.3 Å³ per cell
N(E_F): 1.3 states/eV/f.u.
ρ: 3.59 g/cm³
ΔE to the lowest computed polymorph: 822.3 meV per atom

a = 3.715 Å, b = 3.715 Å, c = 3.715 Å
α = 90.00°, β = 90.00°, γ = 90.00°
Space group Pm-3m (No. 221)
One atom of each set of equivalent atoms:
Fe 0.000 0.000 0.000
C 0.000 0.500 0.500
F 0.500 0.500 0.500

---

Record 5
# FeCF2

A relaxed structure of FeCF2 (PBE+U, the Alexandria database).

Properties
V: 158.7 Å³ per cell
N(E_F): 2.0 states/eV/f.u.
ρ: 3.32 g/cm³
ΔE to the lowest computed polymorph: 427.5 meV per atom

a = 2.8559 Å, b = 2.8559 Å, c = 22.4720 Å
α = 90.00°, β = 90.00°, γ = 120.00°
Space group R-3m (No. 166, hexagonal axes)
One atom of each set of equivalent atoms:
Fe 0.0000 0.0000 0.0000
C 0.0000 0.0000 0.5000
F 0.0000 0.0000 0.3886

---

Record 6
# FeC2F

A relaxed structure of FeC2F (PBE+U, the Alexandria database).

Properties
V: 149.9 Å³ per cell
N(E_F): 3.8 states/eV/f.u.
ρ: 4.38 g/cm³
ΔE to the lowest computed polymorph: 294.2 meV per atom

a = 5.313 Å, b = 5.313 Å, c = 5.313 Å
α = 90.00°, β = 90.00°, γ = 90.00°
Space group Fm-3m (No. 225)
One atom of each set of equivalent atoms:
Fe 0.000 0.000 0.000
C 0.250 0.250 0.250
F 0.000 0.000 0.500

---

Q: What is the N(E_F) in the second record?
A: 9.2 states/eV/f.u.